--- one ---
The following is a PBE calculation of crystalline Tb7ErTm3 at its relaxed geometry, from Alexandria.

Results
Spin magnetization = 0.00 Bohr magnetons per cell
DOS(E_F) = 16.68 states/eV/f.u.
SG = P2/m, No. 10
Theoretical density = 8.5 g cm⁻³

Cell: 6.9391 5.4953 9.8294 Å, 90.00 110.56 90.00°
Element x y z (fractional)
Tb 0.0000 0.0000 0.0000
Tb 0.1456 0.5000 0.2916
Tb 0.3215 0.5000 0.6412
Tb 0.4160 0.0000 0.8304
Tb 0.5840 0.0000 0.1696
Tb 0.6785 0.5000 0.3588
Tb 0.8544 0.5000 0.7084
Er 0.0000 0.0000 0.5000
Tm 0.2793 0.5000 0.9999
Tm 0.5000 0.0000 0.5000
Tm 0.7207 0.5000 0.0001

--- two ---
The following is a PBE calculation of crystalline Tb7ErTm3 at its relaxed geometry, from Alexandria.

Results
Spin magnetization = 0.31 Bohr magnetons per cell
DOS(E_F) = 15.40 states/eV/f.u.
SG = C2/m, No. 12
Theoretical density = 8.4 g cm⁻³

Cell: 8.3560 8.3560 5.7554 Å, 110.08 110.08 83.17°
Element x y z (fractional)
Tb 0.0000 0.0000 0.0000
Tb 0.0983 0.5131 0.3059
Tb 0.2918 0.2918 0.7934
Tb 0.4869 0.9017 0.6941
Tb 0.5131 0.0983 0.3059
Tb 0.7082 0.7082 0.2066
Tb 0.9017 0.4869 0.6941
Er 0.0000 0.0000 0.5000
Tm 0.2946 0.7054 0.0000
Tm 0.5000 0.5000 0.5000
Tm 0.7054 0.2946 0.0000

Quick look at relative energies in kJ/mol of atoms: one 0.0; two 12.3.

--- one ---
The following is a PBE calculation of crystalline Tb6ErTm at its relaxed geometry, from Alexandria.

Results
Spin magnetization = 0.00 Bohr magnetons per cell
DOS(E_F) = 13.80 states/eV/f.u.
SG = P-1, No. 2
Theoretical density = 8.4 g cm⁻³

Cell: 6.5093 6.7147 6.8840 Å, 119.08 102.57 90.11°
Element x y z (fractional)
Tb 0.2298 0.4045 0.4769
Tb 0.2497 0.9478 0.9999
Tb 0.2693 0.9263 0.5217
Tb 0.7307 0.0737 0.4783
Tb 0.7503 0.0522 0.0001
Tb 0.7702 0.5955 0.5231
Er 0.5000 0.5000 0.0000
Tm 0.0000 0.5000 0.0000

--- two ---
The following is a PBE calculation of crystalline Tb6ErTm at its relaxed geometry, from Alexandria.

Results
Spin magnetization = 0.00 Bohr magnetons per cell
DOS(E_F) = 11.76 states/eV/f.u.
SG = P4/mmm, No. 123
Theoretical density = 8.5 g cm⁻³

Cell: 5.0043 5.0043 10.0078 Å, 90.00 90.00 90.00°
Element x y z (fractional)
Tb 0.0000 0.0000 0.0000
Tb 0.0000 0.0000 0.5000
Tb 0.0000 0.5000 0.2503
Tb 0.0000 0.5000 0.7497
Tb 0.5000 0.0000 0.2503
Tb 0.5000 0.0000 0.7497
Er 0.5000 0.5000 0.0000
Tm 0.5000 0.5000 0.5000

Quick look at relative energies in kJ/mol of atoms: one 17.7; two 0.0.

--- one ---
The following is a PBE calculation of crystalline Tb3ErTm5 at its relaxed geometry, from Alexandria.

Results
Spin magnetization = 0.00 Bohr magnetons per cell
DOS(E_F) = 11.67 states/eV/f.u.
SG = C2/m, No. 12
Theoretical density = 7.8 g cm⁻³

Cell: 9.3809 9.3809 9.8852 Å, 121.56 121.56 73.19°
Element x y z (fractional)
Tb 0.0000 0.0000 0.0000
Tb 0.0099 0.0099 0.3095
Tb 0.4766 0.4766 0.1339
Tb 0.5000 0.5000 0.5000
Tb 0.5234 0.5234 0.8661
Tb 0.9901 0.9901 0.6905
Er 0.2499 0.2499 0.1037
Er 0.7501 0.7501 0.8963
Tm 0.0947 0.5962 0.7495
Tm 0.2179 0.2179 0.7280
Tm 0.2388 0.7612 0.5000
Tm 0.2785 0.2785 0.4657
Tm 0.4038 0.9053 0.2505
Tm 0.5962 0.0947 0.7495
Tm 0.7215 0.7215 0.5343
Tm 0.7612 0.2388 0.5000
Tm 0.7821 0.7821 0.2720
Tm 0.9053 0.4038 0.2505

--- two ---
The following is a PBE calculation of crystalline Tb3ErTm5 at its relaxed geometry, from Alexandria.

Results
Spin magnetization = 0.00 Bohr magnetons per cell
DOS(E_F) = 11.33 states/eV/f.u.
SG = Cmcm, No. 63
Theoretical density = 8.8 g cm⁻³

Cell: 9.7501 9.7501 7.1387 Å, 90.00 90.00 55.76°
Element x y z (fractional)
Tb 0.0000 0.0000 0.0000
Tb 0.0000 0.0000 0.5000
Tb 0.1911 0.1921 0.2500
Tb 0.1921 0.1911 0.7500
Tb 0.8079 0.8089 0.2500
Tb 0.8089 0.8079 0.7500
Er 0.3030 0.6970 0.7500
Er 0.6970 0.3030 0.2500
Tm 0.1564 0.5223 0.5008
Tm 0.1564 0.5223 0.9992
Tm 0.3409 0.6591 0.2500
Tm 0.4777 0.8436 0.5008
Tm 0.4777 0.8436 0.9992
Tm 0.5223 0.1564 0.0008
Tm 0.5223 0.1564 0.4992
Tm 0.6591 0.3409 0.7500
Tm 0.8436 0.4777 0.0008
Tm 0.8436 0.4777 0.4992

Quick look at relative energies in kJ/mol of atoms: one 39.4; two 0.0.

--- one ---
The following is a PBE calculation of crystalline Tb5Er3Tm2 at its relaxed geometry, from Alexandria.

Results
Spin magnetization = 0.00 Bohr magnetons per cell
DOS(E_F) = 12.80 states/eV/f.u.
SG = Ibam, No. 72
Theoretical density = 8.5 g cm⁻³

Cell: 10.8457 10.8457 10.8457 Å, 112.32 77.66 146.50°
Element x y z (fractional)
Tb 0.1760 0.2504 0.4265
Tb 0.2500 0.2500 0.0000
Tb 0.2500 0.5012 0.2512
Tb 0.2500 0.9988 0.7488
Tb 0.3240 0.7504 0.0744
Tb 0.6760 0.2496 0.9256
Tb 0.7500 0.0012 0.2512
Tb 0.7500 0.4988 0.7488
Tb 0.7500 0.7500 0.0000
Tb 0.8240 0.7496 0.5735
Er 0.1671 0.9144 0.0816
Er 0.2500 0.7500 0.5000
Er 0.3329 0.4144 0.7473
Er 0.6671 0.5856 0.2527
Er 0.7500 0.2500 0.5000
Er 0.8329 0.0856 0.9184
Tm 0.1664 0.5858 0.7522
Tm 0.3336 0.0858 0.4194
Tm 0.6664 0.9142 0.5806
Tm 0.8336 0.4142 0.2478

--- two ---
The following is a PBE calculation of crystalline Tb5Er3Tm2 at its relaxed geometry, from Alexandria.

Results
Spin magnetization = 0.00 Bohr magnetons per cell
DOS(E_F) = 18.99 states/eV/f.u.
SG = C2/c, No. 15
Theoretical density = 8.5 g cm⁻³

Cell: 9.3771 9.3771 9.4440 Å, 108.20 108.20 111.61°
Element x y z (fractional)
Tb 0.0224 0.9776 0.7500
Tb 0.1471 0.3943 0.7891
Tb 0.2762 0.7238 0.2500
Tb 0.3943 0.1471 0.2891
Tb 0.4720 0.5280 0.2500
Tb 0.5280 0.4720 0.7500
Tb 0.6057 0.8529 0.7109
Tb 0.7238 0.2762 0.7500
Tb 0.8529 0.6057 0.2109
Tb 0.9776 0.0224 0.2500
Er 0.0106 0.2660 0.0461
Er 0.2287 0.7713 0.7500
Er 0.2660 0.0106 0.5461
Er 0.7340 0.9894 0.4539
Er 0.7713 0.2287 0.2500
Er 0.9894 0.7340 0.9539
Tm 0.2188 0.4639 0.4528
Tm 0.4639 0.2188 0.9528
Tm 0.5361 0.7812 0.0472
Tm 0.7812 0.5361 0.5472

Quick look at relative energies in kJ/mol of atoms: one 10.2; two 0.0.

--- one ---
The following is a PBE calculation of crystalline Tb5Er3Tm4 at its relaxed geometry, from Alexandria.

Results
Spin magnetization = 0.41 Bohr magnetons per cell
DOS(E_F) = 19.71 states/eV/f.u.
SG = C2/m, No. 12
Theoretical density = 8.6 g cm⁻³

Cell: 8.5073 8.5073 9.1719 Å, 115.22 115.22 39.81°
Element x y z (fractional)
Tb 0.0000 0.0000 0.0000
Tb 0.3262 0.3262 0.6145
Tb 0.4245 0.4245 0.2987
Tb 0.5755 0.5755 0.7013
Tb 0.6738 0.6738 0.3855
Er 0.2087 0.2087 0.2291
Er 0.5000 0.5000 0.0000
Er 0.7913 0.7913 0.7709
Tm 0.0799 0.0799 0.4383
Tm 0.2142 0.2142 0.8774
Tm 0.7858 0.7858 0.1226
Tm 0.9201 0.9201 0.5617

--- two ---
The following is a PBE calculation of crystalline Tb5Er3Tm4 at its relaxed geometry, from Alexandria.

Results
Spin magnetization = 0.00 Bohr magnetons per cell
DOS(E_F) = 15.42 states/eV/f.u.
SG = P-1, No. 2
Theoretical density = 8.9 g cm⁻³

Cell: 6.0861 7.0367 8.6018 Å, 90.00 89.94 89.91°
Element x y z (fractional)
Tb 0.0000 0.0000 0.0000
Tb 0.3329 0.5001 0.6657
Tb 0.4997 0.2493 0.0000
Tb 0.5003 0.7507 0.0000
Tb 0.6671 0.4999 0.3343
Er 0.0000 0.5000 0.0000
Er 0.1664 0.7506 0.3343
Er 0.8336 0.2494 0.6657
Tm 0.1664 0.2492 0.3344
Tm 0.3339 0.0001 0.6655
Tm 0.6661 0.9999 0.3345
Tm 0.8336 0.7508 0.6656

Quick look at relative energies in kJ/mol of atoms: one 22.0; two 0.0.

--- one ---
The following is a PBE calculation of crystalline Tb4Er2Tm3 at its relaxed geometry, from Alexandria.

Results
Spin magnetization = 0.00 Bohr magnetons per cell
DOS(E_F) = 11.52 states/eV/f.u.
SG = Cccm, No. 66
Theoretical density = 8.8 g cm⁻³

Cell: 9.6082 9.6082 6.9317 Å, 90.00 90.00 119.91°
Element x y z (fractional)
Tb 0.0311 0.6817 0.0000
Tb 0.3180 0.3511 0.0000
Tb 0.3183 0.9689 0.5000
Tb 0.3511 0.3180 0.5000
Tb 0.6489 0.6820 0.5000
Tb 0.6817 0.0311 0.5000
Tb 0.6820 0.6489 0.0000
Tb 0.9689 0.3183 0.0000
Er 0.0316 0.3498 0.5000
Er 0.3498 0.0316 0.0000
Er 0.6502 0.9684 0.0000
Er 0.9684 0.6502 0.5000
Tm 0.0000 0.0000 0.2500
Tm 0.0000 0.0000 0.7500
Tm 0.3319 0.6681 0.2500
Tm 0.3319 0.6681 0.7500
Tm 0.6681 0.3319 0.2500
Tm 0.6681 0.3319 0.7500

--- two ---
The following is a PBE calculation of crystalline Tb4Er2Tm3 at its relaxed geometry, from Alexandria.

Results
Spin magnetization = 0.00 Bohr magnetons per cell
DOS(E_F) = 12.46 states/eV/f.u.
SG = C2/c, No. 15
Theoretical density = 8.8 g cm⁻³

Cell: 9.8193 9.8193 6.0913 Å, 94.65 94.65 71.66°
Element x y z (fractional)
Tb 0.0963 0.8106 0.9871
Tb 0.1437 0.4306 0.1544
Tb 0.1894 0.9037 0.5129
Tb 0.4306 0.1437 0.6544
Tb 0.5694 0.8563 0.3456
Tb 0.8106 0.0963 0.4871
Tb 0.8563 0.5694 0.8456
Tb 0.9037 0.1894 0.0129
Er 0.2394 0.5222 0.6807
Er 0.4778 0.7606 0.8193
Er 0.5222 0.2394 0.1807
Er 0.7606 0.4778 0.3193
Tm 0.0703 0.2642 0.5804
Tm 0.2642 0.0703 0.0804
Tm 0.4033 0.5967 0.2500
Tm 0.5967 0.4033 0.7500
Tm 0.7358 0.9297 0.9196
Tm 0.9297 0.7358 0.4196

Quick look at relative energies in kJ/mol of atoms: one 0.0; two 4.5.

--- one ---
The following is a PBE calculation of crystalline Tb2Er9Tm at its relaxed geometry, from Alexandria.

Results
Spin magnetization = 0.04 Bohr magnetons per cell
DOS(E_F) = 21.12 states/eV/f.u.
SG = P6/mmm, No. 191
Theoretical density = 9.0 g cm⁻³

Cell: 11.0791 11.0791 3.4596 Å, 90.00 90.00 120.00°
Element x y z (fractional)
Tb 0.3333 0.6667 0.0000
Tb 0.6667 0.3333 0.0000
Er 0.0000 0.5000 0.0000
Er 0.1752 0.3504 0.5000
Er 0.1752 0.8248 0.5000
Er 0.3504 0.1752 0.5000
Er 0.5000 0.0000 0.0000
Er 0.5000 0.5000 0.0000
Er 0.6496 0.8248 0.5000
Er 0.8248 0.1752 0.5000
Er 0.8248 0.6496 0.5000
Tm 0.0000 0.0000 0.0000

--- two ---
The following is a PBE calculation of crystalline Tb2Er9Tm at its relaxed geometry, from Alexandria.

Results
Spin magnetization = 0.00 Bohr magnetons per cell
DOS(E_F) = 17.06 states/eV/f.u.
SG = P4/mmm, No. 123
Theoretical density = 9.0 g cm⁻³

Cell: 4.9595 4.9595 14.8755 Å, 90.00 90.00 90.00°
Element x y z (fractional)
Tb 0.0000 0.0000 0.1672
Tb 0.0000 0.0000 0.8328
Er 0.0000 0.5000 0.0000
Er 0.0000 0.5000 0.3345
Er 0.0000 0.5000 0.6655
Er 0.5000 0.0000 0.0000
Er 0.5000 0.0000 0.3345
Er 0.5000 0.0000 0.6655
Er 0.5000 0.5000 0.1675
Er 0.5000 0.5000 0.5000
Er 0.5000 0.5000 0.8325
Tm 0.0000 0.0000 0.5000

Quick look at relative energies in kJ/mol of atoms: one 3.9; two 0.0.

--- one ---
The following is a PBE calculation of crystalline Tb8Er4Tm3 at its relaxed geometry, from Alexandria.

Results
Spin magnetization = 0.00 Bohr magnetons per cell
DOS(E_F) = 23.06 states/eV/f.u.
SG = R-3m, No. 166
Theoretical density = 8.5 g cm⁻³

Cell: 12.3162 12.3162 12.3162 Å, 32.39 32.39 32.39°
Element x y z (fractional)
Tb 0.2448 0.2448 0.2448
Tb 0.2477 0.7503 0.7503
Tb 0.2497 0.2497 0.7523
Tb 0.2497 0.7523 0.2497
Tb 0.7503 0.2477 0.7503
Tb 0.7503 0.7503 0.2477
Tb 0.7523 0.2497 0.2497
Tb 0.7552 0.7552 0.7552
Er 0.0000 0.0000 0.0000
Er 0.3361 0.3361 0.3361
Er 0.5000 0.5000 0.5000
Er 0.6639 0.6639 0.6639
Tm 0.0000 0.0000 0.5000
Tm 0.0000 0.5000 0.0000
Tm 0.5000 0.0000 0.0000

--- two ---
The following is a PBE calculation of crystalline Tb8Er4Tm3 at its relaxed geometry, from Alexandria.

Results
Spin magnetization = 0.02 Bohr magnetons per cell
DOS(E_F) = 28.85 states/eV/f.u.
SG = C2/m, No. 12
Theoretical density = 8.3 g cm⁻³

Cell: 9.1827 9.1827 6.6961 Å, 111.38 111.38 87.49°
Element x y z (fractional)
Tb 0.1434 0.8566 0.0000
Tb 0.2319 0.2319 0.4699
Tb 0.2330 0.2330 0.9943
Tb 0.2490 0.7510 0.5000
Tb 0.7510 0.2490 0.5000
Tb 0.7670 0.7670 0.0057
Tb 0.7681 0.7681 0.5301
Tb 0.8566 0.1434 0.0000
Er 0.0000 0.5000 0.5000
Er 0.5000 0.0000 0.5000
Er 0.5000 0.5000 0.0000
Er 0.5000 0.5000 0.5000
Tm 0.0000 0.0000 0.5000
Tm 0.0000 0.5000 0.0000
Tm 0.5000 0.0000 0.0000

Quick look at relative energies in kJ/mol of atoms: one 0.0; two 24.3.

--- one ---
The following is a PBE calculation of crystalline Tb5Er2Tm at its relaxed geometry, from Alexandria.

Results
Spin magnetization = 0.00 Bohr magnetons per cell
DOS(E_F) = 11.60 states/eV/f.u.
SG = P-1, No. 2
Theoretical density = 8.6 g cm⁻³

Cell: 6.5776 8.8275 9.4002 Å, 87.93 84.09 68.18°
Element x y z (fractional)
Tb 0.0482 0.2392 0.1105
Tb 0.2102 0.5015 0.4138
Tb 0.2872 0.5024 0.0852
Tb 0.2870 0.7610 0.6091
Tb 0.3460 0.3092 0.7498
Tb 0.6540 0.6908 0.2502
Tb 0.7130 0.2390 0.3909
Tb 0.7128 0.4976 0.9148
Tb 0.7898 0.4985 0.5862
Tb 0.9518 0.7608 0.8895
Er 0.2750 0.1055 0.4209
Er 0.3806 0.8940 0.9205
Er 0.6194 0.1060 0.0795
Er 0.7250 0.8945 0.5791
Tm 0.0637 0.8722 0.2498
Tm 0.9363 0.1278 0.7502

--- two ---
The following is a PBE calculation of crystalline Tb5Er2Tm at its relaxed geometry, from Alexandria.

Results
Spin magnetization = 0.00 Bohr magnetons per cell
DOS(E_F) = 9.28 states/eV/f.u.
SG = Pbam, No. 55
Theoretical density = 8.7 g cm⁻³

Cell: 7.0645 14.1312 4.9857 Å, 90.00 90.00 90.00°
Element x y z (fractional)
Tb 0.0000 0.0000 0.0000
Tb 0.9999 0.2504 0.0000
Tb 0.0001 0.7496 0.0000
Tb 0.2502 0.1247 0.5000
Tb 0.2498 0.6247 0.5000
Tb 0.4999 0.2496 0.0000
Tb 0.5000 0.5000 0.0000
Tb 0.5001 0.7504 0.0000
Tb 0.7502 0.3753 0.5000
Tb 0.7498 0.8753 0.5000
Er 0.2498 0.3755 0.5000
Er 0.2502 0.8755 0.5000
Er 0.7498 0.1245 0.5000
Er 0.7502 0.6245 0.5000
Tm 0.0000 0.5000 0.0000
Tm 0.5000 0.0000 0.0000

Quick look at relative energies in kJ/mol of atoms: one 13.1; two 0.0.